# 1
Compound: Nd6Tm2Th
Source: Alexandria via LeMat-Bulk
Functional: PBE
Structure: optimized geometry

Cell lengths 3.621, 3.621, 27.088 Å; angles 90.00, 90.00, 120.00 degrees
Fractional positions:
Nd: 0.000 0.000 0.067
Nd: 0.000 0.000 0.277
Nd: 0.000 0.000 0.723
Nd: 0.000 0.000 0.933
Nd: 0.333 0.667 0.391
Nd: 0.333 0.667 0.609
Tm: 0.333 0.667 0.170
Tm: 0.333 0.667 0.830
Th: 0.000 0.000 0.500

Output
* space group: No. 187
* DFT formation energy: 58 meV/atom
* DOS at the Fermi energy: 14.42 states/eV per cell
* magnetic moment: 0.00 μB/f.u.



# 2
Compound: Nd2Tm5Th
Source: Alexandria via LeMat-Bulk
Functional: PBE
Structure: optimized geometry

Cell lengths 7.052, 7.052, 7.052 Å; angles 119.14, 119.14, 91.50 degrees
Fractional positions:
Nd: 0.000 0.500 0.500
Nd: 0.500 0.000 0.500
Tm: 0.000 0.000 0.000
Tm: 0.000 0.000 0.500
Tm: 0.000 0.500 0.000
Tm: 0.500 0.000 0.000
Tm: 0.500 0.500 0.500
Th: 0.500 0.500 0.000

Output
* space group: No. 139
* DFT formation energy: 23 meV/atom
* DOS at the Fermi energy: 9.46 states/eV per cell
* magnetic moment: 0.00 μB/f.u.



# 3
Compound: NdTm4Th
Source: Alexandria via LeMat-Bulk
Functional: PBE
Structure: optimized geometry

Cell lengths 8.460, 8.460, 6.556 Å; angles 100.06, 100.06, 117.47 degrees
Fractional positions:
Nd: 0.086 0.914 0.750
Nd: 0.914 0.086 0.250
Tm: 0.071 0.337 0.878
Tm: 0.215 0.600 0.469
Tm: 0.337 0.071 0.378
Tm: 0.400 0.785 0.031
Tm: 0.600 0.215 0.969
Tm: 0.663 0.929 0.622
Tm: 0.785 0.400 0.531
Tm: 0.929 0.663 0.122
Th: 0.498 0.502 0.250
Th: 0.502 0.498 0.750

Output
* space group: No. 15
* DFT formation energy: 154 meV/atom
* DOS at the Fermi energy: 19.86 states/eV per cell
* magnetic moment: 0.00 μB/f.u.



# 4
Compound: Nd2Tm3Th
Source: Alexandria via LeMat-Bulk
Functional: PBE
Structure: optimized geometry

Cell lengths 8.059, 8.059, 6.472 Å; angles 90.00, 90.00, 108.93 degrees
Fractional positions:
Nd: 0.005 0.363 0.000
Nd: 0.363 0.005 0.500
Nd: 0.637 0.995 0.000
Nd: 0.995 0.637 0.500
Tm: 0.110 0.257 0.485
Tm: 0.257 0.110 0.985
Tm: 0.414 0.586 0.724
Tm: 0.586 0.414 0.224
Tm: 0.743 0.890 0.485
Tm: 0.890 0.743 0.985
Th: 0.331 0.669 0.209
Th: 0.669 0.331 0.709

Output
* space group: No. 36
* DFT formation energy: 256 meV/atom
* DOS at the Fermi energy: 19.51 states/eV per cell
* magnetic moment: 0.00 μB/f.u.



# 5
Compound: NdTm4Th
Source: Alexandria via LeMat-Bulk
Functional: PBE
Structure: optimized geometry

Cell lengths 6.548, 6.548, 6.548 Å; angles 60.00, 60.00, 60.00 degrees
Fractional positions:
Nd: 0.000 0.000 0.000
Tm: 0.125 0.625 0.625
Tm: 0.625 0.125 0.625
Tm: 0.625 0.625 0.125
Tm: 0.625 0.625 0.625
Th: 0.250 0.250 0.250

Output
* space group: No. 216
* DFT formation energy: 326 meV/atom
* DOS at the Fermi energy: 12.29 states/eV per cell
* magnetic moment: 4.44 μB/f.u.



# 6
Compound: Nd2Tm3Th2
Source: Alexandria via LeMat-Bulk
Functional: PBE
Structure: optimized geometry

Cell lengths 8.963, 8.963, 8.589 Å; angles 118.55, 118.55, 22.15 degrees
Fractional positions:
Nd: 0.063 0.063 0.410
Nd: 0.937 0.937 0.590
Tm: 0.284 0.284 0.700
Tm: 0.500 0.500 0.000
Tm: 0.716 0.716 0.300
Th: 0.346 0.346 0.145
Th: 0.654 0.654 0.855

Output
* space group: No. 12
* DFT formation energy: 145 meV/atom
* DOS at the Fermi energy: 10.09 states/eV per cell
* magnetic moment: 0.00 μB/f.u.



# 7
Compound: Nd4Tm7Th
Source: Alexandria via LeMat-Bulk
Functional: PBE
Structure: optimized geometry

Cell lengths 7.095, 7.946, 7.948 Å; angles 95.91, 102.32, 116.38 degrees
Fractional positions:
Nd: 0.005 0.168 0.170
Nd: 0.256 0.668 0.171
Nd: 0.744 0.332 0.829
Nd: 0.995 0.832 0.830
Tm: 0.000 0.500 0.500
Tm: 0.252 0.004 0.499
Tm: 0.254 0.336 0.829
Tm: 0.498 0.828 0.829
Tm: 0.502 0.172 0.171
Tm: 0.746 0.664 0.171
Tm: 0.748 0.996 0.501
Th: 0.500 0.500 0.500

Output
* space group: No. 2
* DFT formation energy: 24 meV/atom
* DOS at the Fermi energy: 15.77 states/eV per cell
* magnetic moment: 0.00 μB/f.u.



# 8
Compound: NdTm3Th3
Source: Alexandria via LeMat-Bulk
Functional: PBE
Structure: optimized geometry

Cell lengths 9.450, 9.450, 5.830 Å; angles 90.00, 90.00, 120.00 degrees
Fractional positions:
Nd: 0.333 0.667 0.250
Nd: 0.667 0.333 0.750
Tm: 0.091 0.621 0.750
Tm: 0.379 0.470 0.750
Tm: 0.470 0.091 0.250
Tm: 0.530 0.909 0.750
Tm: 0.621 0.530 0.250
Tm: 0.909 0.379 0.250
Th: 0.045 0.810 0.250
Th: 0.190 0.234 0.250
Th: 0.234 0.045 0.750
Th: 0.766 0.955 0.250
Th: 0.810 0.766 0.750
Th: 0.955 0.190 0.750

Output
* space group: No. 176
* DFT formation energy: 45 meV/atom
* DOS at the Fermi energy: 20.47 states/eV per cell
* magnetic moment: 0.00 μB/f.u.



# 9
Compound: Nd5Tm5Th2
Source: Alexandria via LeMat-Bulk
Functional: PBE
Structure: optimized geometry

Cell lengths 8.033, 8.033, 11.389 Å; angles 115.44, 115.44, 36.63 degrees
Fractional positions:
Nd: 0.000 0.000 0.000
Nd: 0.081 0.081 0.748
Nd: 0.250 0.250 0.254
Nd: 0.750 0.750 0.746
Nd: 0.919 0.919 0.252
Tm: 0.332 0.332 0.998
Tm: 0.415 0.415 0.744
Tm: 0.500 0.500 0.500
Tm: 0.585 0.585 0.256
Tm: 0.668 0.668 0.002
Th: 0.168 0.168 0.498
Th: 0.832 0.832 0.502

Output
* space group: No. 12
* DFT formation energy: 33 meV/atom
* DOS at the Fermi energy: 16.31 states/eV per cell
* magnetic moment: 0.00 μB/f.u.



# 10
Compound: Nd2TmTh2
Source: Alexandria via LeMat-Bulk
Functional: PBE
Structure: optimized geometry

Cell lengths 14.782, 14.782, 14.782 Å; angles 14.01, 14.01, 14.01 degrees
Fractional positions:
Nd: 0.203 0.203 0.203
Nd: 0.797 0.797 0.797
Tm: 0.000 0.000 0.000
Th: 0.398 0.398 0.398
Th: 0.602 0.602 0.602

Output
* space group: No. 166
* DFT formation energy: 34 meV/atom
* DOS at the Fermi energy: 7.30 states/eV per cell
* magnetic moment: 0.00 μB/f.u.



# 11
Compound: Nd10Tm4Th
Source: Alexandria via LeMat-Bulk
Functional: PBE
Structure: optimized geometry

Cell lengths 8.939, 8.939, 8.939 Å; angles 111.74, 111.74, 105.02 degrees
Fractional positions:
Nd: 0.053 0.397 0.105
Nd: 0.053 0.947 0.344
Nd: 0.250 0.750 0.500
Nd: 0.292 0.947 0.895
Nd: 0.397 0.292 0.344
Nd: 0.603 0.708 0.656
Nd: 0.708 0.053 0.105
Nd: 0.750 0.250 0.500
Nd: 0.947 0.053 0.656
Nd: 0.947 0.603 0.895
Tm: 0.225 0.443 0.668
Tm: 0.443 0.775 0.218
Tm: 0.557 0.225 0.782
Tm: 0.775 0.557 0.332
Th: 0.000 0.000 0.000

Output
* space group: No. 87
* DFT formation energy: 471 meV/atom
* DOS at the Fermi energy: 25.42 states/eV per cell
* magnetic moment: 0.00 μB/f.u.



# 12
Compound: NdTm2Th2
Source: Alexandria via LeMat-Bulk
Functional: PBE
Structure: optimized geometry

Cell lengths 14.581, 14.581, 14.581 Å; angles 14.08, 14.08, 14.08 degrees
Fractional positions:
Nd: 0.000 0.000 0.000
Tm: 0.401 0.401 0.401
Tm: 0.599 0.599 0.599
Th: 0.199 0.199 0.199
Th: 0.801 0.801 0.801

Output
* space group: No. 166
* DFT formation energy: 17 meV/atom
* DOS at the Fermi energy: 6.17 states/eV per cell
* magnetic moment: 0.00 μB/f.u.



Q: What is the formula in the third record?
A: NdTm4Th